VASP calculation (PBE) on a geometry-optimized Li3TbPd3 structure.

- space-group type = No. 148
- relative energy among the computed polymorphs (meV per atom) = 0
- formation enthalpy at 0 K (meV/atom) = -423
- final energy (eV per atom) = -4.13
- N(E_F) (states/eV/cell) = 4.0

Cell lengths 6.705, 6.705, 7.526 Å; angles 63.55, 63.55, 60.00 degrees
Element x y z (fractional)
Li: 0.565 0.745 0.604
Li: 0.745 0.087 0.604
Li: 0.087 0.565 0.604
Li: 0.913 0.435 0.396
Li: 0.255 0.913 0.396
Li: 0.435 0.255 0.396
Tb: 0.342 0.342 0.975
Tb: 0.658 0.658 0.025
Pd: 0.178 0.695 0.188
Pd: 0.939 0.178 0.188
Pd: 0.695 0.939 0.188
Pd: 0.305 0.061 0.812
Pd: 0.061 0.822 0.812
Pd: 0.822 0.305 0.812